[1]
{"formula": "RbCrCo3", "functional": "PBE", "state": "relaxed", "lattice_angstrom": [[4.3979, 0.0000, 0.0000], [0.0000, 4.3979, 0.0000], [0.0000, 0.0000, 4.3979]], "species": ["Rb", "Cr", "Co", "Co", "Co"], "fractional_positions": [[0.0000, 0.0000, 0.0000], [0.5000, 0.5000, 0.5000], [0.0000, 0.0000, 0.5000], [0.0000, 0.5000, 0.0000], [0.5000, 0.0000, 0.0000]], "space_group": "No. 221", "polymorph_energy_ev_per_fu": 8.589, "e_form_kj_per_mol_fu": 1481, "m_tot_mub_per_atom": 0.019, "n_ef_per_ev_cell": 14.294, "total_energy_ev_per_cell": -16.562}

---

[2]
{"formula": "Co2RePt", "functional": "PBE", "state": "relaxed", "lattice_angstrom": [[2.6234, 0.0000, 0.0000], [0.0000, 4.3449, 0.0000], [-0.0845, 0.0000, 4.7766]], "species": ["Co", "Co", "Re", "Pt"], "fractional_positions": [[0.1646, 0.0000, 0.2299], [0.8354, 0.0000, 0.7701], [0.5000, 0.5000, 0.0000], [0.0000, 0.5000, 0.5000]], "space_group": "No. 10", "polymorph_energy_ev_per_fu": 0.831, "e_form_kj_per_mol_fu": 76, "m_tot_mub_per_atom": 0.833, "n_ef_per_ev_cell": 5.552, "total_energy_ev_per_cell": -31.918}

---

[3]
{"formula": "HoZrZnCd", "functional": "PBE", "state": "relaxed", "lattice_angstrom": [[3.4648, 0.0000, 0.0000], [0.0000, 3.4648, 0.0000], [0.0000, 0.0000, 7.3412]], "species": ["Ho", "Zr", "Zn", "Cd"], "fractional_positions": [[0.0000, 0.0000, 0.0000], [0.0000, 0.0000, 0.5371], [0.5000, 0.5000, 0.7501], [0.5000, 0.5000, 0.2811]], "space_group": "No. 99", "polymorph_energy_ev_per_fu": 0.000, "e_form_kj_per_mol_fu": -85, "m_tot_mub_per_atom": 0.000, "n_ef_per_ev_cell": 4.596, "total_energy_ev_per_cell": -16.199}